[1]
Compound: CeGdGaAg
Source: Alexandria
Functional: PBE
Structure: optimized geometry

abc: 7.3536 7.3536 7.3536
angles: 90.00 90.00 90.00
Space group F-43m (No. 216)
Inequivalent atoms, fractional coordinates:
Ce1 0.0000 0.0000 0.0000
Gd1 0.0000 0.0000 0.5000
Ga1 0.2500 0.2500 0.7500
Ag1 0.2500 0.2500 0.2500

Values from the calculation:
Formation energy from the elements (meV/atom): -343.2
N(E_F) (states/eV/atom): 2.41


[2]
Compound: PmNiAgHg
Source: Alexandria
Functional: PBE
Structure: optimized geometry

abc: 6.8866 6.8866 6.8866
angles: 90.00 90.00 90.00
Space group F-43m (No. 216)
Inequivalent atoms, fractional coordinates:
Pm1 0.0000 0.0000 0.0000
Ni1 0.2500 0.2500 0.2500
Ag1 0.2500 0.2500 0.7500
Hg1 0.0000 0.0000 0.5000

Values from the calculation:
Formation energy from the elements (meV/atom): -149.9
N(E_F) (states/eV/atom): 0.82


[3]
Compound: Mn2NbGeCl
Source: Alexandria
Functional: PBE
Structure: optimized geometry

abc: 4.9537 4.9537 4.6435
angles: 90.00 90.00 90.00
Space group P4/mmm (No. 123)
Inequivalent atoms, fractional coordinates:
Mn1 0.0000 0.5000 0.0000
Nb1 0.0000 0.0000 0.0000
Ge1 0.5000 0.5000 0.5000
Cl1 0.0000 0.0000 0.5000

Values from the calculation:
E_tot (eV/atom): -5.979
N(E_F) (states/eV/atom): 1.13


[4]
Compound: Sr3Ga2RuO8
Source: Alexandria
Functional: PBE
Structure: optimized geometry

abc: 5.6338 5.6338 7.1777
angles: 90.00 90.00 120.00
Space group P-3m1 (No. 164)
Inequivalent atoms, fractional coordinates:
Sr1 0.0000 0.0000 0.0000
Sr2 0.3333 0.6667 0.6432
Ga1 0.3333 0.6667 0.2062
Ru1 0.0000 0.0000 0.5000
O1 0.1626 0.3251 0.3265
O2 0.3333 0.6667 0.9611

Values from the calculation:
E_tot (eV/atom): -6.315
N(E_F) (states/eV/atom): 0.34


[5]
Compound: CaTcPt2
Source: Alexandria
Functional: PBE
Structure: optimized geometry

abc: 5.9280 8.0008 2.8443
angles: 90.00 90.00 90.00
Space group Cmmm (No. 65)
Inequivalent atoms, fractional coordinates:
Ca1 0.0000 0.0000 0.0000
Tc1 0.0000 0.5000 0.0000
Pt1 0.2500 0.2500 0.5000

Values from the calculation:
Formation energy from the elements (meV/atom): -250.0
Polymorph energy (0 for the lowest one) (eV/atom): 0.042
N(E_F) (states/eV/atom): 0.97


[6]
Compound: CdBi2Pb2
Source: Alexandria
Functional: PBE
Structure: optimized geometry

abc: 10.5375 5.0326 7.4712
angles: 90.00 129.11 90.00
Space group C2/m (No. 12)
Inequivalent atoms, fractional coordinates:
Cd1 0.0000 0.0000 0.0000
Bi1 0.2052 0.0000 0.6038
Pb1 0.1029 0.5000 0.8202

Values from the calculation:
Formation energy from the elements (meV/atom): 50.1
Polymorph energy (0 for the lowest one) (eV/atom): 0.006
N(E_F) (states/eV/atom): 0.43


[7]
Compound: TbPr3Ho7
Source: Alexandria
Functional: PBE
Structure: optimized geometry

abc: 7.0731 7.0731 8.7133
angles: 90.00 90.00 120.00
Space group P3m1 (No. 156)
Inequivalent atoms, fractional coordinates:
Tb1 0.0000 0.0000 0.0000
Pr1 0.1667 0.3335 0.3400
Ho1 0.0015 0.5008 0.0006
Ho2 0.3319 0.1660 0.6785
Ho3 0.3333 0.6667 0.6798

Values from the calculation:
Formation energy from the elements (meV/atom): 173.1
Polymorph energy (0 for the lowest one) (eV/atom): 0.050
N(E_F) (states/eV/atom): 1.53


[8]
Compound: TbAgGeO4
Source: Alexandria
Functional: PBE
Structure: optimized geometry

abc: 6.0258 7.1080 8.8942
angles: 90.00 90.00 90.00
Space group Imma (No. 74)
Inequivalent atoms, fractional coordinates:
Tb1 0.0000 0.0000 0.0000
Ag1 0.2500 0.2500 0.2500
Ge1 0.0000 0.2500 0.6337
O1 0.0000 0.0432 0.7443
O2 0.2461 0.2500 0.5130

Values from the calculation:
E_tot (eV/atom): -6.489


[9]
Compound: Na2Mg2P
Source: Alexandria
Functional: PBE
Structure: optimized geometry

abc: 3.9381 3.9381 17.3818
angles: 90.00 90.00 90.00
Space group I4/mmm (No. 139)
Inequivalent atoms, fractional coordinates:
Na1 0.0000 0.0000 0.0811
Mg1 0.0000 0.5000 0.2500
P1 0.0000 0.0000 0.5000

Values from the calculation:
Formation energy from the elements (meV/atom): 275.8
Polymorph energy (0 for the lowest one) (eV/atom): 0.367
N(E_F) (states/eV/atom): 0.42


[10]
Compound: Pr12SmAl4O3
Source: Alexandria
Functional: PBE
Structure: optimized geometry

abc: 10.2355 10.2355 10.2355
angles: 90.00 90.00 90.00
Space group Im-3m (No. 229)
Inequivalent atoms, fractional coordinates:
Pr1 0.0000 0.0000 0.2713
Pr2 0.0000 0.2500 0.5000
Sm1 0.0000 0.0000 0.0000
Al1 0.2500 0.2500 0.2500
O1 0.0000 0.0000 0.5000

Values from the calculation:
E_tot (eV/atom): -5.259
N(E_F) (states/eV/atom): 0.83


[11]
Compound: CsCr2WCl
Source: Alexandria
Functional: PBE
Structure: optimized geometry

abc: 4.7968 4.7968 7.9325
angles: 90.00 90.00 90.00
Space group P4/mmm (No. 123)
Inequivalent atoms, fractional coordinates:
Cs1 0.0000 0.0000 0.0000
Cr1 0.0000 0.5000 0.5000
W1 0.0000 0.0000 0.5000
Cl1 0.5000 0.5000 0.0000

Values from the calculation:
E_tot (eV/atom): -5.919
N(E_F) (states/eV/atom): 0.28


[12]
Compound: Cr2SiOsBr
Source: Alexandria
Functional: PBE
Structure: optimized geometry

abc: 4.7269 4.7269 5.0706
angles: 90.00 90.00 90.00
Space group P4/mmm (No. 123)
Inequivalent atoms, fractional coordinates:
Cr1 0.0000 0.5000 0.0000
Si1 0.0000 0.0000 0.5000
Os1 0.5000 0.5000 0.0000
Br1 0.5000 0.5000 0.5000

Values from the calculation:
E_tot (eV/atom): -6.043
N(E_F) (states/eV/atom): 0.83


[13]
Compound: AcSmPdAu
Source: Alexandria
Functional: PBE
Structure: optimized geometry

abc: 7.5082 7.5082 7.5082
angles: 90.00 90.00 90.00
Space group F-43m (No. 216)
Inequivalent atoms, fractional coordinates:
Ac1 0.0000 0.0000 0.0000
Sm1 0.0000 0.0000 0.5000
Pd1 0.2500 0.2500 0.2500
Au1 0.2500 0.2500 0.7500

Values from the calculation:
Formation energy from the elements (meV/atom): -717.0
Polymorph energy (0 for the lowest one) (eV/atom): 0.079
N(E_F) (states/eV/atom): 0.82


[14]
Compound: HgPd2Rh
Source: Alexandria
Functional: PBE
Structure: optimized geometry

abc: 3.8768 3.8768 19.0199
angles: 90.00 90.00 90.00
Space group I-42d (No. 122)
Inequivalent atoms, fractional coordinates:
Hg1 0.0000 0.0000 0.0000
Pd1 0.2387 0.2500 0.6250
Rh1 0.0000 0.0000 0.5000

Values from the calculation:
Formation energy from the elements (meV/atom): 342.2
N(E_F) (states/eV/atom): 1.44


[15]
Compound: Li3CeNd2S6
Source: Alexandria
Functional: PBE
Structure: optimized geometry

abc: 7.0294 12.1754 6.6287
angles: 90.00 110.70 90.00
Space group C2/m (No. 12)
Inequivalent atoms, fractional coordinates:
Li1 0.0000 0.0000 0.0000
Li2 0.0000 0.3342 0.0000
Ce1 0.0000 0.5000 0.5000
Nd1 0.0000 0.1667 0.5000
S1 0.2461 0.5000 0.2436
S2 0.2485 0.1658 0.2428

Values from the calculation:
E_tot (eV/atom): -5.589
N(E_F) (states/eV/atom): 0.45


[16]
Compound: CaSmHo2
Source: Alexandria
Functional: PBE
Structure: optimized geometry

abc: 24.0068 3.4999 6.4504
angles: 90.00 94.11 90.00
Space group C2/m (No. 12)
Inequivalent atoms, fractional coordinates:
Ca1 0.0013 0.0000 0.2492
Sm1 0.2483 0.0000 0.2486
Ho1 0.1262 0.5000 0.0372
Ho2 0.1347 0.0000 0.5453

Values from the calculation:
Formation energy from the elements (meV/atom): 125.2
Polymorph energy (0 for the lowest one) (eV/atom): 0.060
N(E_F) (states/eV/atom): 1.53


[17]
Compound: AsP2
Source: Alexandria
Functional: PBE
Structure: optimized geometry

abc: 14.1475 3.1623 6.0338
angles: 90.00 98.59 90.00
Space group Cm (No. 8)
Inequivalent atoms, fractional coordinates:
As1 0.0000 0.0000 0.0000
As2 0.2246 0.5000 0.1592
P1 0.0104 0.0000 0.6153
P2 0.2854 0.0000 0.6466
P3 0.3278 0.5000 0.9002
P4 0.4124 0.0000 0.4646

Values from the calculation:
Formation energy from the elements (meV/atom): 166.3
Polymorph energy (0 for the lowest one) (eV/atom): 0.056
N(E_F) (states/eV/atom): 0.24


[18]
Compound: CaNd6Tm8
Source: Alexandria
Functional: PBE
Structure: optimized geometry

abc: 9.9251 9.9251 6.1052
angles: 90.00 90.00 120.00
Space group P-3 (No. 147)
Inequivalent atoms, fractional coordinates:
Ca1 0.0000 0.0000 0.0000
Nd1 0.1374 0.4443 0.9496
Tm1 0.0218 0.6808 0.5581
Tm2 0.3333 0.6667 0.4318

Values from the calculation:
Formation energy from the elements (meV/atom): 222.7
N(E_F) (states/eV/atom): 1.44


[19]
Compound: MoC2
Source: Alexandria
Functional: PBE
Structure: optimized geometry

abc: 2.9231 4.4498 4.6060
angles: 90.00 90.00 90.00
Space group Immm (No. 71)
Inequivalent atoms, fractional coordinates:
Mo1 0.0000 0.0000 0.0000
C1 0.0000 0.5000 0.1473

Values from the calculation:
Formation energy from the elements (meV/atom): 827.3
Polymorph energy (0 for the lowest one) (eV/atom): 0.308
N(E_F) (states/eV/atom): 0.79


[20]
Compound: AlFe2Te
Source: Alexandria
Functional: PBE
Structure: optimized geometry

abc: 3.9303 3.4287 9.5134
angles: 90.00 90.00 90.00
Space group Amm2 (No. 38)
Inequivalent atoms, fractional coordinates:
Al1 0.0000 0.0000 0.0000
Fe1 0.0000 0.0000 0.7094
Fe2 0.5000 0.0000 0.5663
Te1 0.5000 0.0000 0.2913

Values from the calculation:
Polymorph energy (0 for the lowest one) (eV/atom): 0.000
N(E_F) (states/eV/atom): 0.64


no.,M_tot (μB per formula unit)
1,8.34
2,0.00
3,5.52
4,2.00
5,0.58
6,0.00
7,0.00
8,0.00
9,0.00
10,0.42
11,5.24
12,6.08
13,0.00
14,0.00
15,0.97
16,0.00
17,0.00
18,0.00
19,0.00
20,4.21